Crystalline NdSc3Bi2 at its relaxed geometry, computed with GGA-PBE.

The value obtained for the calculated formation energy is -457.4 meV/atom. The value obtained for the uncorrected energy is -5.7115 eV per atom. As for the total moment: 0.741 μB/f.u.

It has space group C2/m (No. 12), with a = 18.8014 Å, b = 4.3367 Å, c = 10.4371 Å, α = 90.00°, β = 123.17° and γ = 90.00°. The distinct sites, in fractional coordinates, are Nd at (0.1218, 0.0000, 0.1199), Sc at (0.0470, 0.0000, 0.6896), Sc at (0.0980, 0.5000, 0.5267), Sc at (0.1824, 0.5000, 0.9036), Bi at (0.0047, 0.5000, 0.1735) and Bi at (0.2237, 0.0000, 0.7294).



Crystalline LiS2F at its relaxed geometry, computed with GGA-PBE.

The formation energy from raw total energies comes out at -0.09 eV/atom. The value obtained for the energy above the lowest structure with this stoichiometry is 3.60 eV/f.u. The value obtained for the uncorrected energy is -3.1050 eV per atom. As for the total moment: 0.000 μB/f.u.

It has space group R-3m (No. 166, hexagonal axes), with a = 3.0353 Å, b = 3.0353 Å, c = 22.6603 Å, α = 90.00°, β = 90.00° and γ = 120.00°. The distinct sites, in fractional coordinates, are Li at (0.0000, 0.0000, 0.0000), S at (0.0000, 0.0000, 0.4102) and F at (0.0000, 0.0000, 0.5000).



Crystalline TeAs3Os at its relaxed geometry, computed with GGA-PBE.

The formation energy from raw total energies comes out at 0.55 eV/atom. The value obtained for the energy above the lowest structure with this stoichiometry is 0.00 eV/f.u. The value obtained for the uncorrected energy is -5.1188 eV per atom. As for the total moment: 0.000 μB/f.u.

It has space group Pm-3m (No. 221), with a = 4.8427 Å, b = 4.8427 Å, c = 4.8427 Å, α = 90.00°, β = 90.00° and γ = 90.00°. The distinct sites, in fractional coordinates, are Te at (0.0000, 0.0000, 0.0000), As at (0.0000, 0.5000, 0.5000) and Os at (0.5000, 0.5000, 0.5000).



Crystalline Ir2Ru2Pt at its relaxed geometry, computed with GGA-PBE.

The value obtained for the calculated formation energy is 152.9 meV/atom. The value obtained for the energy above the lowest structure with this stoichiometry is 0.00 eV/f.u. The value obtained for the uncorrected energy is -8.3100 eV per atom. As for the total moment: 0.000 μB/f.u.

It has space group Immm (No. 71), with a = 2.7426 Å, b = 4.3404 Å, c = 12.5105 Å, α = 90.00°, β = 90.00° and γ = 90.00°. The distinct sites, in fractional coordinates, are Ir at (0.0000, 0.0000, 0.1027), Ru at (0.0000, 0.5000, 0.2188) and Pt at (0.0000, 0.0000, 0.5000).



Crystalline MgTe2Ru at its relaxed geometry, computed with GGA-PBE.

The formation energy from raw total energies comes out at -0.13 eV/atom. The value obtained for the uncorrected energy is -4.4226 eV per atom. As for the total moment: 0.475 μB/f.u.

It has space group Cm (No. 8), with a = 9.6924 Å, b = 3.3600 Å, c = 6.9752 Å, α = 90.00°, β = 109.74° and γ = 90.00°. The distinct sites, in fractional coordinates, are Mg at (0.0000, 0.0000, 0.0000), Te at (0.2075, 0.0000, 0.7407), Te at (0.4053, 0.0000, 0.3134) and Ru at (0.2336, 0.5000, 0.0417).



Crystalline La2Tb6Tm at its relaxed geometry, computed with GGA-PBE.

The value obtained for the calculated formation energy is 6.9 meV/atom. The value obtained for the uncorrected energy is -4.6718 eV per atom. As for the total moment: 0.000 μB/f.u.

It has space group P-1 (No. 2), with a = 7.2455 Å, b = 8.9479 Å, c = 9.5830 Å, α = 103.31°, β = 100.85° and γ = 90.08°. The distinct sites, in fractional coordinates, are La at (0.0837, 0.0001, 0.3304), La at (0.1228, 0.6668, 0.4822), Tb at (0.0473, 0.3335, 0.1796), Tb at (0.2164, 0.3361, 0.8557), Tb at (0.2520, 0.9964, 0.9996), Tb at (0.3815, 0.3337, 0.5198), Tb at (0.4200, 0.0058, 0.6708), Tb at (0.4569, 0.6662, 0.8175) and Tm at (0.2891, 0.6639, 0.1443).